# Sm4Ho9Zn11 | the Alexandria database | PBE | optimized geometry
data_Sm4Ho9Zn11
_chemical_formula_sum 'Sm4 Ho9 Zn11'
_cell_length_a 3.461
_cell_length_b 13.088
_cell_length_c 13.088
_cell_angle_alpha 107.92
_cell_angle_beta 90.00
_cell_angle_gamma 90.00
_symmetry_space_group_name_H-M 'P 1'
_symmetry_Int_Tables_number 1
loop_
_symmetry_equiv_pos_as_xyz
'x,y,z'
loop_
_atom_site_label
_atom_site_type_symbol
_atom_site_fract_x
_atom_site_fract_y
_atom_site_fract_z
_atom_site_occupancy
Sm1 Sm 0.500 0.416 0.244 1
Zn1 Zn 0.000 0.415 0.049 1
Zn2 Zn 0.000 0.206 0.206 1
Ho1 Ho 0.500 0.379 0.850 1
Ho2 Ho 0.500 0.206 0.018 1
Zn3 Zn 0.000 0.049 0.415 1
Ho3 Ho 0.500 0.150 0.621 1
Sm2 Sm 0.500 0.244 0.416 1
Zn4 Zn 0.000 0.585 0.951 1
Ho4 Ho 0.500 0.500 0.500 1
Zn5 Zn 0.000 0.794 0.794 1
Ho5 Ho 0.500 0.621 0.150 1
Zn6 Zn 0.000 0.631 0.369 1
Zn7 Zn 0.000 0.369 0.631 1
Zn8 Zn 0.000 0.951 0.585 1
Sm3 Sm 0.500 0.756 0.584 1
Ho6 Ho 0.500 0.850 0.379 1
Zn9 Zn 0.000 0.000 0.000 1
Zn10 Zn 0.000 0.821 0.179 1
Zn11 Zn 0.000 0.179 0.821 1
Ho7 Ho 0.500 0.794 0.982 1
Ho8 Ho 0.500 0.982 0.794 1
Ho9 Ho 0.500 0.018 0.206 1
Sm4 Sm 0.500 0.584 0.756 1
# Fermi-level density of states in states/eV per atom: 1.04
# Crystal system: orthorhombic
# Magnetization in μB per formula unit: 0.0
# Energy in Ha/atom: -0.1223
# ΔE_f in eV/atom: -0.24